Computed, not measured: crystalline V4Ir3Rh at its relaxed geometry at the PBE-GGA level of DFT.

## Properties
Formation enthalpy at 0 K in eV per atom: -0.17
Fermi-level density of states in states/eV/atom: 1.287
Electronic total energy in eV/atom: -8.98

a = 2.691 Å, b = 4.875 Å, c = 17.286 Å
α = 90.00°, β = 90.00°, γ = 90.00°
Space group Immm (No. 71)
One atom of each set of equivalent atoms:
V (0.000, 0.245, 0.125) (multiplicity 8)
Ir (0.000, 0.000, 0.260) (multiplicity 4)
Ir (0.000, 0.500, 0.500) (multiplicity 2)
Rh (0.000, 0.500, 0.000) (multiplicity 2)